An optimized crystal structure of V2NiPt4, computed with PBE.

Summary:
energy relative to the lowest polymorph listed for this composition	37	meV/atom
magnetization	0.00	Bohr magnetons per cell

Unit cell a=6.345 b=5.117 c=7.067 alpha=90.00 beta=114.71 gamma=90.00
Element x y z (fractional)
V 0.039 0.250 0.465
V 0.213 0.750 0.017
V 0.787 0.250 0.983
V 0.961 0.750 0.535
Ni 0.053 0.250 0.823
Ni 0.947 0.750 0.177
Pt 0.225 0.250 0.215
Pt 0.363 0.750 0.421
Pt 0.375 0.501 0.779
Pt 0.375 0.999 0.779
Pt 0.625 0.001 0.221
Pt 0.625 0.499 0.221
Pt 0.637 0.250 0.579
Pt 0.775 0.750 0.785

---

An optimized crystal structure of V2NiPt, computed with PBE.

Summary:
raw total energy	-7.356	eV per atom
magnetization	0.00	Bohr magnetons per cell

Unit cell a=9.060 b=9.060 c=9.060 alpha=156.85 beta=156.85 gamma=32.97
Element x y z (fractional)
V 0.113 0.625 0.988
V 0.375 0.363 0.488
V 0.637 0.125 0.012
V 0.875 0.887 0.512
Ni 0.000 0.000 0.000
Ni 0.750 0.250 0.500
Pt 0.250 0.750 0.500
Pt 0.500 0.500 0.000

---

An optimized crystal structure of V3Ni7Pt2, computed with PBE.

Summary:
raw total energy	-6.604	eV per atom
magnetization	0.70	Bohr magnetons per cell

Unit cell a=2.721 b=3.857 c=15.118 alpha=90.00 beta=95.14 gamma=90.00
Element x y z (fractional)
V 0.000 0.000 0.000
V 0.322 0.500 0.643
V 0.678 0.500 0.357
Ni 0.074 0.500 0.150
Ni 0.219 0.000 0.438
Ni 0.437 0.000 0.874
Ni 0.500 0.500 0.000
Ni 0.563 0.000 0.126
Ni 0.781 0.000 0.562
Ni 0.926 0.500 0.850
Pt 0.137 0.000 0.274
Pt 0.863 0.000 0.726

---

An optimized crystal structure of VNi6Pt, computed with PBE.

Summary:
raw total energy	-6.344	eV per atom
magnetization	0.00	Bohr magnetons per cell

Unit cell a=5.110 b=5.110 c=4.142 alpha=90.00 beta=90.00 gamma=120.00
Element x y z (fractional)
V 0.000 0.000 0.000
Ni 0.332 0.166 0.500
Ni 0.503 0.006 0.000
Ni 0.503 0.497 0.000
Ni 0.834 0.166 0.500
Ni 0.834 0.668 0.500
Ni 0.994 0.497 0.000
Pt 0.333 0.667 0.500